Compound: AcAg4Rh
Source: the Alexandria database
Functional: GGA-PBE
Structure: optimized geometry

Lattice parameters (Å, degrees): 7.934 7.934 7.934 90.00 90.00 90.00
Space group F-43m (No. 216)
One atom of each set of equivalent atoms:
Ac (0.000, 0.000, 0.000) x4
Ag (0.124, 0.124, 0.376) x16
Rh (0.250, 0.250, 0.750) x4

***

Compound: AcAgRh
Source: the Alexandria database
Functional: GGA-PBE
Structure: optimized geometry

Properties
E above lowest polymorph   5 meV/atom

Lattice parameters (Å, degrees): 3.996 17.963 4.105 90.00 90.00 90.00
Space group Cmcm (No. 63)
One atom of each set of equivalent atoms:
Ac (0.000, 0.100, 0.250) x4
Ag (0.000, 0.287, 0.250) x4
Rh (0.000, 0.449, 0.250) x4

***

Compound: Ac8AgRh5
Source: the Alexandria database
Functional: GGA-PBE
Structure: optimized geometry

Lattice parameters (Å, degrees): 9.500 9.500 9.277 90.00 90.00 90.00
Space group I-4 (No. 82)
One atom of each set of equivalent atoms:
Ac (0.055, 0.301, 0.074) x8
Ac (0.062, 0.183, 0.676) x8
Ag (0.000, 0.500, 0.750) x2
Rh (0.000, 0.000, 0.000) x2
Rh (0.137, 0.246, 0.376) x8

***

Compound: AcAgSbRh
Source: the Alexandria database
Functional: GGA-PBE
Structure: optimized geometry

Properties
Formation energy without anion corrections   -1.472 eV/f.u.

Lattice parameters (Å, degrees): 7.212 7.212 7.212 90.00 90.00 90.00
Space group F-43m (No. 216)
One atom of each set of equivalent atoms:
Ac (0.000, 0.000, 0.000) x4
Ag (0.250, 0.250, 0.250) x4
Sb (0.000, 0.000, 0.500) x4
Rh (0.250, 0.250, 0.750) x4

***

Compound: Ac2AgSb4Rh3
Source: the Alexandria database
Functional: GGA-PBE
Structure: optimized geometry

Properties
Formation energy without anion corrections   -7.673 eV/f.u.

Lattice parameters (Å, degrees): 4.706 4.706 10.651 90.00 90.00 90.00
Space group P-4m2 (No. 115)
One atom of each set of equivalent atoms:
Ac (0.000, 0.500, 0.248) x2
Ag (0.500, 0.500, 0.000) x1
Sb (0.000, 0.000, 0.500) x1
Sb (0.000, 0.500, 0.863) x2
Sb (0.500, 0.500, 0.500) x1
Rh (0.000, 0.000, 0.000) x1
Rh (0.000, 0.500, 0.616) x2

***

Compound: AcScAgRh
Source: the Alexandria database
Functional: GGA-PBE
Structure: optimized geometry

Lattice parameters (Å, degrees): 7.223 7.223 7.223 90.00 90.00 90.00
Space group F-43m (No. 216)
One atom of each set of equivalent atoms:
Ac (0.000, 0.000, 0.000) x4
Sc (0.000, 0.000, 0.500) x4
Ag (0.250, 0.250, 0.250) x4
Rh (0.250, 0.250, 0.750) x4

***

Compound: AcSmAgRh
Source: the Alexandria database
Functional: GGA-PBE
Structure: optimized geometry

Lattice parameters (Å, degrees): 7.437 7.437 7.437 90.00 90.00 90.00
Space group F-43m (No. 216)
One atom of each set of equivalent atoms:
Ac (0.000, 0.000, 0.000) x4
Sm (0.000, 0.000, 0.500) x4
Ag (0.250, 0.250, 0.250) x4
Rh (0.250, 0.250, 0.750) x4

***

Compound: AcAgSnRh
Source: the Alexandria database
Functional: GGA-PBE
Structure: optimized geometry

Lattice parameters (Å, degrees): 7.218 7.218 7.218 90.00 90.00 90.00
Space group F-43m (No. 216)
One atom of each set of equivalent atoms:
Ac (0.000, 0.000, 0.000) x4
Ag (0.250, 0.250, 0.250) x4
Sn (0.000, 0.000, 0.500) x4
Rh (0.250, 0.250, 0.750) x4

***

Compound: SrAcAgRh
Source: the Alexandria database
Functional: GGA-PBE
Structure: optimized geometry

Properties
E above lowest polymorph   105 meV/atom

Lattice parameters (Å, degrees): 7.572 7.572 7.572 90.00 90.00 90.00
Space group F-43m (No. 216)
One atom of each set of equivalent atoms:
Sr (0.000, 0.000, 0.000) x4
Ac (0.000, 0.000, 0.500) x4
Ag (0.250, 0.250, 0.250) x4
Rh (0.250, 0.250, 0.750) x4

***

Compound: SrAcAgRh
Source: the Alexandria database
Functional: GGA-PBE
Structure: optimized geometry

Properties
E above lowest polymorph   0 meV/atom

Lattice parameters (Å, degrees): 4.390 4.251 12.238 90.00 90.00 90.00
Space group Amm2 (No. 38)
One atom of each set of equivalent atoms:
Sr (0.000, 0.000, 0.000) x2
Ac (0.500, 0.000, 0.279) x2
Ag (0.500, 0.000, 0.573) x2
Rh (0.000, 0.000, 0.733) x2

***

Compound: AcAgTeRh
Source: the Alexandria database
Functional: GGA-PBE
Structure: optimized geometry

Properties
Formation energy without anion corrections   -1.368 eV/f.u.

Lattice parameters (Å, degrees): 7.260 7.260 7.260 90.00 90.00 90.00
Space group F-43m (No. 216)
One atom of each set of equivalent atoms:
Ac (0.000, 0.000, 0.000) x4
Ag (0.250, 0.250, 0.750) x4
Te (0.000, 0.000, 0.500) x4
Rh (0.250, 0.250, 0.250) x4

***

Compound: AcThAgRh
Source: the Alexandria database
Functional: GGA-PBE
Structure: optimized geometry

Lattice parameters (Å, degrees): 7.471 7.471 7.471 90.00 90.00 90.00
Space group F-43m (No. 216)
One atom of each set of equivalent atoms:
Ac (0.000, 0.000, 0.000) x4
Th (0.000, 0.000, 0.500) x4
Ag (0.250, 0.250, 0.750) x4
Rh (0.250, 0.250, 0.250) x4

***

Compound: AcTlAgRh
Source: the Alexandria database
Functional: GGA-PBE
Structure: optimized geometry

Lattice parameters (Å, degrees): 7.272 7.272 7.272 90.00 90.00 90.00
Space group F-43m (No. 216)
One atom of each set of equivalent atoms:
Ac (0.000, 0.000, 0.000) x4
Tl (0.000, 0.000, 0.500) x4
Ag (0.250, 0.250, 0.250) x4
Rh (0.250, 0.250, 0.750) x4

***

Number 1: spin magnetization 0.0 μB per formula unit, calculated total energy -3.88 eV per atom, V 499.5 Å³/cell. Number 2: spin magnetization 0.0 μB per formula unit, calculated total energy -5.20 eV per atom, V 294.7 Å³/cell. Number 3: spin magnetization 0.0 μB per formula unit, calculated total energy -5.75 eV per atom, V 837.2 Å³/cell. Number 4: spin magnetization 0.0 μB per formula unit, calculated total energy -4.98 eV per atom, V 375.2 Å³/cell. Number 5: spin magnetization 0.0 μB per formula unit, calculated total energy -5.73 eV per atom, V 235.9 Å³/cell. Number 6: spin magnetization 0.0 μB per formula unit, calculated total energy -5.49 eV per atom, V 376.9 Å³/cell. Number 7: spin magnetization 0.0 μB per formula unit, calculated total energy -5.15 eV per atom, V 411.3 Å³/cell. Number 8: spin magnetization 0.0 μB per formula unit, calculated total energy -4.90 eV per atom, V 376.0 Å³/cell. Number 9: spin magnetization 0.0 μB per formula unit, calculated total energy -4.31 eV per atom, V 434.2 Å³/cell. Number 10: spin magnetization 0.0 μB per formula unit, calculated total energy -4.41 eV per atom, V 228.3 Å³/cell. Number 11: spin magnetization 0.0 μB per formula unit, calculated total energy -4.71 eV per atom, V 382.6 Å³/cell. Number 12: spin magnetization 0.0 μB per formula unit, calculated total energy -5.74 eV per atom, V 417.1 Å³/cell. Number 13: spin magnetization 0.0 μB per formula unit, calculated total energy -4.35 eV per atom, V 384.6 Å³/cell.